Record 1
Here is Sm2GaCuSe5 after structural relaxation from the Alexandria database. Energies are from PBE-GGA.

POSCAR file:
```
Sm2GaCuSe5
1.0
-1.103 1.161 -3.716
-8.175 -1.200 4.256
0.153 11.144 3.437
Sm Ga Cu Se
4 2 2 10
Cartesian
-6.989 8.951 2.670
-1.810 7.353 2.836
-2.122 3.110 1.602
-7.338 2.014 0.606
-1.975 11.186 1.879
-7.084 4.637 3.553
-4.680 7.084 1.401
-4.487 0.911 1.617
-6.158 10.548 5.125
-3.759 9.486 1.878
-0.499 9.302 0.852
-5.286 6.712 3.667
-8.455 6.258 2.263
-2.894 5.833 0.479
-5.344 3.187 2.583
-8.615 2.540 3.352
-3.873 1.865 -0.470
-0.728 0.620 0.410
```

Properties
E_form (uncorrected) = -1.203 eV/atom
Total magnetization = 0.00 μB/f.u.

=====

Record 2
Here is KMoPb2 after structural relaxation from the Alexandria database. Energies are from PBE-GGA.

POSCAR file:
```
KMoPb2
1.0
0.000 3.756 3.756
3.756 0.000 3.756
3.756 3.756 0.000
Pb Mo K
2 1 1
Cartesian
1.878 1.878 1.878
5.635 5.635 5.635
3.756 3.756 3.756
0.000 0.000 0.000
```

Properties
ΔH_f (0 K) = 719 meV per atom
Relative energy among the computed polymorphs = 362 meV/atom
Total magnetization = 2.96 μB/f.u.

=====

Record 3
Here is Ba4SiSe6 after structural relaxation from the Alexandria database. Energies are from PBE-GGA.

POSCAR file:
```
Ba4SiSe6
1.0
-5.983 -2.009 5.489
0.778 -7.721 4.395
4.576 4.011 12.829
Ba Si Se
8 2 12
Cartesian
1.756 -5.524 14.281
0.621 -3.151 4.254
-2.318 -1.852 11.432
2.134 -3.111 18.416
-2.309 -4.264 16.769
-3.364 -1.864 6.669
-0.099 -0.121 15.241
0.488 -5.153 8.745
-1.579 -5.749 12.137
3.339 1.130 13.584
-1.398 -4.301 6.378
-2.569 0.534 13.411
0.042 -4.110 11.769
2.393 1.908 15.571
-1.372 0.160 8.754
-1.094 -2.501 19.567
4.108 2.994 12.461
-3.291 -4.719 13.290
1.258 -0.110 3.980
0.439 -3.139 15.800
1.651 0.117 12.362
-2.339 -6.451 10.063
```

Properties
E_form (uncorrected) = -1.543 eV/atom
Total magnetization = 0.00 μB/f.u.

=====

Record 4
Here is SmDy2Ho4Mg after structural relaxation from the Alexandria database. Energies are from PBE-GGA.

POSCAR file:
```
SmDy2Ho4Mg
1.0
4.936 0.000 0.000
0.000 4.715 1.493
0.000 1.693 11.034
Sm Dy Ho Mg
1 2 4 1
Cartesian
2.468 4.050 11.780
0.000 1.693 11.034
2.468 5.561 7.010
0.000 4.817 9.361
0.000 1.591 3.165
2.468 3.949 3.909
2.468 2.459 8.617
0.000 3.204 6.263
```

Properties
ΔH_f (0 K) = 23 meV per atom
Total magnetization = 0.00 μB/f.u.

=====

Record 5
Here is LaYCdBi after structural relaxation from the Alexandria database. Energies are from PBE-GGA.

POSCAR file:
```
LaYCdBi
1.0
-3.969 3.508 -1.541
-2.966 -1.013 -4.539
-5.300 -1.466 0.438
Y Cd Bi La
1 1 1 1
Cartesian
-9.176 0.772 -4.232
0.000 0.000 0.000
-6.117 0.514 -2.821
-3.059 0.257 -1.411
```

Properties
ΔH_f (0 K) = -497 meV per atom
Total magnetization = 0.00 μB/f.u.

=====

Record 6
Here is Ce6Ir2CI3 after structural relaxation from the Alexandria database. Energies are from PBE-GGA.

POSCAR file:
```
Ce6Ir2CI3
1.0
-3.515 -5.888 -1.478
6.782 0.560 -1.707
0.945 -1.221 8.131
Ce Ir C I
6 2 1 3
Cartesian
1.762 -6.185 4.211
2.630 -4.233 -0.927
2.450 -0.365 0.735
4.928 -4.202 4.141
1.581 -2.317 5.873
-0.717 -2.348 0.805
3.345 -1.592 -1.631
-0.079 -3.736 -1.555
0.000 0.000 0.000
5.493 -1.153 2.398
-1.282 -5.396 2.548
2.106 -3.275 2.473
```

Properties
E_form (uncorrected) = -0.792 eV/atom
Total magnetization = 5.26 μB/f.u.